# Pm5Dy6Sc2 PBE relaxed
data_Pm5Dy6Sc2
_chemical_formula_sum 'Pm10 Dy12 Sc4'
_space_group_name_H-M_alt 'P b a m'
_space_group_IT_number 55
_cell_length_a 11.321
_cell_length_b 20.397
_cell_length_c 3.593
_cell_angle_alpha 90.00
_cell_angle_beta 90.00
_cell_angle_gamma 90.00
loop_
_space_group_symop_operation_xyz
'x,y,z'
'-x,-y,-z'
'-x,-y,z'
'x,y,-z'
'x+1/2,-y+1/2,-z'
'-x+1/2,y+1/2,z'
'-x+1/2,y+1/2,-z'
'x+1/2,-y+1/2,z'
loop_
_atom_site_label
_atom_site_type_symbol
_atom_site_fract_x
_atom_site_fract_y
_atom_site_fract_z
Pm1 Pm 0.000 0.000 0.000
Pm2 Pm 0.061 0.423 0.000
Pm3 Pm 0.148 0.722 0.000
Dy1 Dy 0.080 0.155 0.000
Dy2 Dy 0.168 0.883 0.500
Dy3 Dy 0.221 0.555 0.500
Sc1 Sc 0.111 0.286 0.500
# Energy of formation: 0.06 eV per atom
# Total DFT energy (no corrections): -0.35784 Ry/atom
# V: 31.909 Å³/atom

=====

# Pm14DySc PBE relaxed
data_Pm14DySc
_chemical_formula_sum 'Pm14 Dy1 Sc1'
_space_group_name_H-M_alt 'P 4/m m m'
_space_group_IT_number 123
_space_group_name_Hall '-P 4 2'
_cell_length_a 7.249
_cell_length_b 7.249
_cell_length_c 10.217
_cell_angle_alpha 90.00
_cell_angle_beta 90.00
_cell_angle_gamma 90.00
loop_
_atom_site_label
_atom_site_type_symbol
_atom_site_fract_x
_atom_site_fract_y
_atom_site_fract_z
Pm1 Pm 0.000 0.000 0.000
Pm2 Pm 0.000 0.500 0.000
Pm3 Pm 0.000 0.500 0.500
Pm4 Pm 0.248 0.248 0.254
Pm5 Pm 0.500 0.500 0.000
Dy1 Dy 0.500 0.500 0.500
Sc1 Sc 0.000 0.000 0.500
# Energy of formation: 0.02 eV per atom
# Total DFT energy (no corrections): -0.35405 Ry/atom
# V: 33.557 Å³/atom

=====

# Pm12Dy5Sc2 PBE relaxed
data_Pm12Dy5Sc2
_chemical_formula_sum 'Pm24 Dy10 Sc4'
_space_group_name_H-M_alt 'C 1 2/m 1'
_space_group_IT_number 12
_cell_length_a 15.778
_cell_length_b 9.173
_cell_length_c 8.666
_cell_angle_alpha 90.00
_cell_angle_beta 92.69
_cell_angle_gamma 90.00
loop_
_space_group_symop_operation_xyz
'x,y,z'
'-x,-y,-z'
'-x,y,-z'
'x,-y,z'
'x+1/2,y+1/2,z'
'-x+1/2,-y+1/2,-z'
'-x+1/2,y+1/2,-z'
'x+1/2,-y+1/2,z'
loop_
_atom_site_label
_atom_site_type_symbol
_atom_site_fract_x
_atom_site_fract_y
_atom_site_fract_z
Pm1 Pm 0.058 0.000 0.340
Pm2 Pm 0.078 0.500 0.884
Pm3 Pm 0.129 0.198 0.687
Pm4 Pm 0.149 0.316 0.234
Dy1 Dy 0.000 0.500 0.500
Dy2 Dy 0.202 0.000 0.030
Dy3 Dy 0.231 0.500 0.566
Sc1 Sc 0.000 0.166 0.000
# Energy of formation: 0.11 eV per atom
# ΔE to the lowest computed polymorph: 0.000 eV per atom
# Total DFT energy (no corrections): -0.35010 Ry/atom
# V: 32.973 Å³/atom